Entry w
{
  "formula": "NdThTl4",
  "functional": "GGA-PBE",
  "state": "optimized geometry",
  "cell": [[6.2430, 0.0000, 0.0000], [3.1215, 5.4066, 0.0000], [3.1215, 1.8022, 5.0974]],
  "species": ["Tl", "Tl", "Tl", "Tl", "Nd", "Th"],
  "fractional_positions": [[0.6251, 0.6251, 0.1246], [0.6251, 0.1246, 0.6251], [0.6251, 0.6251, 0.6251], [0.1246, 0.6251, 0.6251], [0.2500, 0.2500, 0.2500], [0.0000, 0.0000, 0.0000]],
  "crystal_system": "cubic",
  "m_tot_mub_per_fu": 0.00
}

=====

Entry x
{
  "formula": "NdThTl4",
  "functional": "GGA-PBE",
  "state": "optimized geometry",
  "cell": [[-3.5462, 1.1692, 5.2294], [5.1005, -3.6630, 7.2803], [5.0425, 3.9427, 0.5982]],
  "species": ["Nd", "Nd", "Th", "Th", "Tl", "Tl", "Tl", "Tl", "Tl", "Tl", "Tl", "Tl"],
  "fractional_positions": [[0.0000, 0.0000, 0.0000], [0.5000, 0.5000, 0.0000], [0.5000, 0.0000, 0.5000], [0.0000, 0.5000, 0.5000], [0.9831, 0.6670, 0.9819], [0.4831, 0.1670, 0.9819], [0.5173, 0.3339, 0.5157], [0.0173, 0.8339, 0.5157], [0.0169, 0.3330, 0.0181], [0.5169, 0.8330, 0.0181], [0.4827, 0.6661, 0.4843], [0.9827, 0.1661, 0.4843]],
  "crystal_system": "triclinic",
  "m_tot_mub_per_fu": 0.00
}

=====

Referenced to the most stable arrangement, the calculated values in kJ/mol of atoms are entry w 13.2; entry x 0.0.

=====

Entry w
{
  "formula": "Nd4ThTl2",
  "functional": "GGA-PBE",
  "state": "optimized geometry",
  "cell": [[5.6048, 0.0000, 0.0000], [2.8024, 4.8539, 0.0000], [2.8024, 1.6180, 9.1292]],
  "species": ["Nd", "Nd", "Nd", "Nd", "Th", "Tl", "Tl"],
  "fractional_positions": [[0.7330, 0.7330, 0.8011], [0.8721, 0.8721, 0.3836], [0.2670, 0.2670, 0.1989], [0.1279, 0.1279, 0.6164], [0.5000, 0.5000, 0.5000], [0.6160, 0.6160, 0.1520], [0.3840, 0.3840, 0.8480]],
  "crystal_system": "trigonal",
  "m_tot_mub_per_fu": 0.00
}

=====

Entry x
{
  "formula": "Nd4ThTl2",
  "functional": "GGA-PBE",
  "state": "optimized geometry",
  "cell": [[-0.0756, 1.6961, -4.6955], [-3.6776, -5.4921, -1.9246], [-5.0559, 4.3678, 1.6591]],
  "species": ["Nd", "Nd", "Nd", "Nd", "Th", "Tl", "Tl"],
  "fractional_positions": [[0.0000, 0.7917, 0.7917], [0.0000, 0.2083, 0.2083], [0.5000, 0.0000, 0.5000], [0.5000, 0.5000, 0.0000], [0.5000, 0.5000, 0.5000], [0.0000, 0.7205, 0.2795], [0.0000, 0.2795, 0.7205]],
  "crystal_system": "orthorhombic",
  "m_tot_mub_per_fu": 0.00
}

=====

Referenced to the most stable arrangement, the calculated values in kJ/mol of atoms are entry w 15.8; entry x 0.0.

=====

Entry w
{
  "formula": "Nd3Tm6Th",
  "functional": "GGA-PBE",
  "state": "optimized geometry",
  "cell": [[-2.5022, 2.2429, -5.1705], [10.8888, -6.0086, -2.9811], [-6.8610, -1.8464, 6.2076]],
  "species": ["Nd", "Nd", "Nd", "Tm", "Tm", "Tm", "Tm", "Tm", "Tm", "Th"],
  "fractional_positions": [[0.6076, 0.0043, 0.2077], [0.3924, 0.9957, 0.7923], [0.0000, 0.0000, 0.0000], [0.1021, 0.4996, 0.1957], [0.3029, 0.5007, 0.6054], [0.8979, 0.5004, 0.8043], [0.6971, 0.4993, 0.3946], [0.1999, 0.0014, 0.4040], [0.8001, 0.9986, 0.5960], [0.5000, 0.5000, 0.0000]],
  "crystal_system": "triclinic",
  "m_tot_mub_per_fu": 0.00
}

=====

Entry x
{
  "formula": "Nd3Tm6Th",
  "functional": "GGA-PBE",
  "state": "optimized geometry",
  "cell": [[-0.0051, 0.0718, 3.5212], [11.9894, -5.5840, 0.1311], [-1.8198, 16.1268, -0.3314]],
  "species": ["Nd", "Nd", "Nd", "Nd", "Nd", "Nd", "Tm", "Tm", "Tm", "Tm", "Tm", "Tm", "Tm", "Tm", "Tm", "Tm", "Tm", "Tm", "Th", "Th"],
  "fractional_positions": [[0.7500, 0.3882, 0.8947], [0.2500, 0.6118, 0.1053], [0.7500, 0.6208, 0.5024], [0.2500, 0.3792, 0.4976], [0.7500, 0.1292, 0.0967], [0.2500, 0.8708, 0.9033], [0.7500, 0.6027, 0.7125], [0.2500, 0.3973, 0.2875], [0.7500, 0.8590, 0.0988], [0.2500, 0.1410, 0.9012], [0.7500, 0.3803, 0.0995], [0.2500, 0.6197, 0.9005], [0.7500, 0.6486, 0.3076], [0.2500, 0.3514, 0.6924], [0.7500, 0.1264, 0.4884], [0.2500, 0.8736, 0.5116], [0.7500, 0.8870, 0.7181], [0.2500, 0.1130, 0.2819], [0.7500, 0.1173, 0.6969], [0.2500, 0.8827, 0.3031]],
  "crystal_system": "monoclinic",
  "m_tot_mub_per_fu": 0.00
}

=====

Referenced to the most stable arrangement, the calculated values in kJ/mol of atoms are entry w 0.0; entry x 5.5.

=====

Entry w
{
  "formula": "Nd2Tm5Th",
  "functional": "GGA-PBE",
  "state": "optimized geometry",
  "cell": [[-1.2498, -2.7913, -6.3548], [6.6461, 1.4320, 1.8749], [-0.9601, -3.9750, 5.7459]],
  "species": ["Nd", "Nd", "Tm", "Tm", "Tm", "Tm", "Tm", "Th"],
  "fractional_positions": [[0.5000, 0.2222, 0.7222], [0.5000, 0.7222, 0.2222], [0.5001, 0.7223, 0.7223], [0.0000, 0.2222, 0.7223], [0.0000, 0.7223, 0.2222], [0.4999, 0.2222, 0.2222], [0.0000, 0.7221, 0.7221], [0.0000, 0.2224, 0.2224]],
  "crystal_system": "tetragonal",
  "m_tot_mub_per_fu": 0.00
}

=====

Entry x
{
  "formula": "Nd2Tm5Th",
  "functional": "GGA-PBE",
  "state": "optimized geometry",
  "cell": [[-0.8407, 2.7929, 4.1182], [-3.0935, -5.5387, 3.1247], [12.5344, -4.0194, 5.2846]],
  "species": ["Nd", "Nd", "Nd", "Nd", "Tm", "Tm", "Tm", "Tm", "Tm", "Tm", "Tm", "Tm", "Tm", "Tm", "Th", "Th"],
  "fractional_positions": [[0.5000, 0.2506, 0.6240], [0.5000, 0.7494, 0.3760], [0.5000, 0.2494, 0.1240], [0.5000, 0.7506, 0.8760], [0.0000, 0.0000, 0.0000], [0.0000, 0.5000, 0.5000], [0.0000, 0.5076, 0.7512], [0.0000, 0.4924, 0.2488], [0.0000, 0.9924, 0.2512], [0.0000, 0.0076, 0.7488], [0.5000, 0.2600, 0.8772], [0.5000, 0.7400, 0.1228], [0.5000, 0.2400, 0.3772], [0.5000, 0.7600, 0.6228], [0.0000, 0.0000, 0.5000], [0.0000, 0.5000, 0.0000]],
  "crystal_system": "orthorhombic",
  "m_tot_mub_per_fu": 0.00
}

=====

Referenced to the most stable arrangement, the calculated values in kJ/mol of atoms are entry w 0.0; entry x 0.7.

=====

Entry w
{
  "formula": "NdTm4Th",
  "functional": "GGA-PBE",
  "state": "optimized geometry",
  "cell": [[6.5483, 0.0000, 0.0000], [3.2742, 5.6710, 0.0000], [3.2742, 1.8903, 5.3467]],
  "species": ["Tm", "Tm", "Tm", "Tm", "Nd", "Th"],
  "fractional_positions": [[0.6248, 0.6248, 0.1255], [0.6248, 0.1255, 0.6248], [0.6248, 0.6248, 0.6248], [0.1255, 0.6248, 0.6248], [0.0000, 0.0000, 0.0000], [0.2500, 0.2500, 0.2500]],
  "crystal_system": "cubic",
  "m_tot_mub_per_fu": 4.44
}

=====

Entry x
{
  "formula": "NdTm4Th",
  "functional": "GGA-PBE",
  "state": "optimized geometry",
  "cell": [[-1.9129, 0.3612, 6.2603], [-5.7741, -4.4916, -5.2770], [7.3396, -4.1024, 0.9325]],
  "species": ["Nd", "Nd", "Tm", "Tm", "Tm", "Tm", "Tm", "Tm", "Tm", "Tm", "Th", "Th"],
  "fractional_positions": [[0.3360, 0.5860, 0.1719], [0.6640, 0.4140, 0.8281], [0.0401, 0.1626, 0.7339], [0.7456, 0.7147, 0.6143], [0.1938, 0.5714, 0.7339], [0.3687, 0.8996, 0.6143], [0.6313, 0.1004, 0.3857], [0.8062, 0.4286, 0.2661], [0.2544, 0.2853, 0.3857], [0.9599, 0.8374, 0.2661], [0.2483, 0.9983, 0.9967], [0.7517, 0.0017, 0.0033]],
  "crystal_system": "monoclinic",
  "m_tot_mub_per_fu": 0.00
}

=====

Entry y
{
  "formula": "NdTm4Th",
  "functional": "GGA-PBE",
  "state": "optimized geometry",
  "cell": [[3.3273, -0.5811, 1.0270], [-3.4772, 9.5212, -7.7143], [2.7670, -6.5597, 11.6965]],
  "species": ["Nd", "Tm", "Tm", "Tm", "Tm", "Th"],
  "fractional_positions": [[0.5000, 0.0000, 0.5000], [0.8297, 0.6640, 0.4995], [0.1702, 0.3359, 0.5005], [0.3408, 0.6699, 0.9997], [0.6592, 0.3300, 0.0002], [0.0000, 0.0000, 0.0000]],
  "crystal_system": "triclinic",
  "m_tot_mub_per_fu": 0.00
}

=====

Referenced to the most stable arrangement, the calculated values in kJ/mol of atoms are entry w 28.9; entry x 12.3; entry y 0.0.

=====

Entry w
{
  "formula": "Nd2Tm3Th",
  "functional": "GGA-PBE",
  "state": "optimized geometry",
  "cell": [[-4.1278, -2.1587, 1.9284], [0.2172, -6.1857, 0.1308], [8.4873, -11.8480, 11.4945]],
  "species": ["Nd", "Nd", "Nd", "Nd", "Tm", "Tm", "Tm", "Tm", "Tm", "Tm", "Th", "Th"],
  "fractional_positions": [[0.8743, 0.3796, 0.8719], [0.1257, 0.6204, 0.1281], [0.6278, 0.1179, 0.6265], [0.3722, 0.8821, 0.3735], [0.1226, 0.9638, 0.7910], [0.8774, 0.0362, 0.2090], [0.6240, 0.7952, 0.9568], [0.3760, 0.2048, 0.0432], [0.8725, 0.7117, 0.5433], [0.1275, 0.2883, 0.4567], [0.3781, 0.5348, 0.7090], [0.6219, 0.4652, 0.2910]],
  "crystal_system": "monoclinic",
  "m_tot_mub_per_fu": 0.00
}

=====

Entry x
{
  "formula": "Nd2Tm3Th",
  "functional": "GGA-PBE",
  "state": "optimized geometry",
  "cell": [[-2.6206, 5.7488, -1.4048], [-2.5144, 0.7165, 7.6228], [5.7358, 3.6681, 4.3113]],
  "species": ["Nd", "Nd", "Nd", "Nd", "Tm", "Tm", "Tm", "Tm", "Tm", "Tm", "Th", "Th"],
  "fractional_positions": [[0.5602, 0.8629, 0.4951], [0.0602, 0.5049, 0.1371], [0.5602, 0.4951, 0.8629], [0.0602, 0.1371, 0.5049], [0.0751, 0.7569, 0.3902], [0.5751, 0.6098, 0.2431], [0.0751, 0.3902, 0.7569], [0.5751, 0.2431, 0.6098], [0.3364, 0.9144, 0.9144], [0.8364, 0.0856, 0.0856], [0.8509, 0.8314, 0.8314], [0.3509, 0.1686, 0.1686]],
  "crystal_system": "orthorhombic",
  "m_tot_mub_per_fu": 0.00
}

=====

Referenced to the most stable arrangement, the calculated values in kJ/mol of atoms are entry w 0.0; entry x 20.7.

=====

Entry w
{
  "formula": "Nd2Tm3Th2",
  "functional": "GGA-PBE",
  "state": "optimized geometry",
  "cell": [[3.4431, 0.0000, 0.0000], [0.0000, 8.5573, -0.7385], [-1.7216, -3.6075, 8.0227]],
  "species": ["Nd", "Nd", "Tm", "Tm", "Tm", "Th", "Th"],
  "fractional_positions": [[0.5630, 0.9099, 0.1261], [0.4370, 0.0901, 0.8739], [0.0000, 0.5000, 0.0000], [0.2158, 0.8002, 0.4315], [0.7842, 0.1998, 0.5685], [0.8456, 0.6450, 0.6911], [0.1544, 0.3550, 0.3089]],
  "crystal_system": "monoclinic",
  "m_tot_mub_per_fu": 0.00
}

=====

Entry x
{
  "formula": "Nd2Tm3Th2",
  "functional": "GGA-PBE",
  "state": "optimized geometry",
  "cell": [[3.5332, 0.4888, -0.4137], [0.9186, 9.0118, 2.9460], [-1.0876, 1.2141, 7.7856]],
  "species": ["Nd", "Nd", "Tm", "Tm", "Tm", "Th", "Th"],
  "fractional_positions": [[0.5734, 0.1435, 0.2890], [0.4266, 0.8565, 0.7110], [0.0000, 0.0000, 0.0000], [0.2957, 0.5646, 0.1580], [0.7043, 0.4354, 0.8420], [0.1441, 0.2895, 0.5765], [0.8559, 0.7105, 0.4235]],
  "crystal_system": "triclinic",
  "m_tot_mub_per_fu": 0.00
}

=====

Referenced to the most stable arrangement, the calculated values in kJ/mol of atoms are entry w 10.9; entry x 0.0.

=====

Entry w
{
  "formula": "NdTm3Th3",
  "functional": "GGA-PBE",
  "state": "optimized geometry",
  "cell": [[-5.0920, 2.2067, -1.7859], [-0.1840, -6.1971, -7.1328], [-3.8902, -2.2482, 8.3139]],
  "species": ["Nd", "Nd", "Tm", "Tm", "Tm", "Tm", "Tm", "Tm", "Th", "Th", "Th", "Th", "Th", "Th"],
  "fractional_positions": [[0.7500, 0.3334, 0.6667], [0.2500, 0.6666, 0.3333], [0.2500, 0.5296, 0.6211], [0.2500, 0.0915, 0.4705], [0.2500, 0.3789, 0.9085], [0.7500, 0.4704, 0.3789], [0.7500, 0.9085, 0.5295], [0.7500, 0.6211, 0.0915], [0.7500, 0.7658, 0.8105], [0.7500, 0.0448, 0.2342], [0.7500, 0.1891, 0.9553], [0.2500, 0.2342, 0.1895], [0.2500, 0.9552, 0.7658], [0.2500, 0.8109, 0.0447]],
  "crystal_system": "hexagonal",
  "m_tot_mub_per_fu": 0.00
}

=====

Entry x
{
  "formula": "NdTm3Th3",
  "functional": "GGA-PBE",
  "state": "optimized geometry",
  "cell": [[7.9516, 0.6219, 3.4750], [2.5083, 7.5712, 3.4750], [0.7940, 0.6219, 8.6414]],
  "species": ["Nd", "Nd", "Tm", "Tm", "Tm", "Tm", "Tm", "Tm", "Th", "Th", "Th", "Th", "Th", "Th"],
  "fractional_positions": [[0.3621, 0.3621, 0.3621], [0.6379, 0.6379, 0.6379], [0.7393, 0.5676, 0.0508], [0.0508, 0.7393, 0.5676], [0.5676, 0.0508, 0.7393], [0.4324, 0.9492, 0.2607], [0.9492, 0.2607, 0.4324], [0.2607, 0.4324, 0.9492], [0.7101, 0.1935, 0.9316], [0.1935, 0.9316, 0.7101], [0.9316, 0.7101, 0.1935], [0.0684, 0.2899, 0.8065], [0.8065, 0.0684, 0.2899], [0.2899, 0.8065, 0.0684]],
  "crystal_system": "trigonal",
  "m_tot_mub_per_fu": 0.00
}

=====

Referenced to the most stable arrangement, the calculated values in kJ/mol of atoms are entry w 0.0; entry x 25.5.

=====

Entry w
{
  "formula": "NdTm2Th2",
  "functional": "GGA-PBE",
  "state": "optimized geometry",
  "cell": [[-1.8224, -0.8017, 2.9685], [-3.4063, -1.0593, -0.2254], [2.5953, -14.3479, -0.1300]],
  "species": ["Nd", "Tm", "Tm", "Th", "Th"],
  "fractional_positions": [[0.0000, 0.0000, 0.0000], [0.4012, 0.4012, 0.7965], [0.5988, 0.5988, 0.2035], [0.8006, 0.8006, 0.5982], [0.1994, 0.1994, 0.4018]],
  "crystal_system": "trigonal",
  "m_tot_mub_per_fu": 0.00
}

=====

Entry x
{
  "formula": "NdTm2Th2",
  "functional": "GGA-PBE",
  "state": "optimized geometry",
  "cell": [[-2.5422, -0.0997, -2.4877], [1.7756, -2.9644, 0.8491], [-9.9187, -3.0034, 10.2564]],
  "species": ["Nd", "Tm", "Tm", "Th", "Th"],
  "fractional_positions": [[0.0000, 0.0000, 0.5000], [0.6667, 0.3333, 0.7002], [0.3333, 0.6667, 0.2998], [0.3333, 0.6667, 0.9004], [0.6667, 0.3333, 0.0996]],
  "crystal_system": "trigonal",
  "m_tot_mub_per_fu": 0.00
}

=====

Referenced to the most stable arrangement, the calculated values in kJ/mol of atoms are entry w 0.0; entry x 1.5.

=====

Entry w
{
  "formula": "Nd4Tm5Th2",
  "functional": "GGA-PBE",
  "state": "optimized geometry",
  "cell": [[3.1414, -0.3676, -1.6767], [-0.5970, 9.4075, 0.6114], [-4.3459, 1.5343, 14.4640]],
  "species": ["Nd", "Nd", "Nd", "Nd", "Tm", "Tm", "Tm", "Tm", "Tm", "Th", "Th"],
  "fractional_positions": [[0.2204, 0.1768, 0.5441], [0.3885, 0.7220, 0.1757], [0.7796, 0.8232, 0.4559], [0.6115, 0.2780, 0.8243], [0.6834, 0.5482, 0.6367], [0.3166, 0.4518, 0.3633], [0.1509, 0.9058, 0.7328], [0.5000, 0.0000, 0.0000], [0.8491, 0.0942, 0.2672], [0.0301, 0.6343, 0.9044], [0.9699, 0.3657, 0.0956]],
  "crystal_system": "triclinic",
  "m_tot_mub_per_fu": 0.00
}

=====

Entry x
{
  "formula": "Nd4Tm5Th2",
  "functional": "GGA-PBE",
  "state": "optimized geometry",
  "cell": [[3.5529, 0.0000, 0.0000], [0.0000, 11.8888, 0.0000], [-1.7764, -5.9444, 8.6893]],
  "species": ["Nd", "Nd", "Nd", "Nd", "Tm", "Tm", "Tm", "Tm", "Tm", "Th", "Th"],
  "fractional_positions": [[0.0000, 0.2742, 0.0000], [0.6025, 0.6025, 0.2050], [0.0000, 0.7258, 0.0000], [0.3975, 0.3975, 0.7950], [0.6688, 0.9314, 0.3376], [0.6688, 0.4062, 0.3376], [0.3312, 0.5938, 0.6624], [0.3312, 0.0686, 0.6624], [0.5000, 0.0000, 0.0000], [0.8120, 0.8120, 0.6239], [0.1880, 0.1880, 0.3761]],
  "crystal_system": "orthorhombic",
  "m_tot_mub_per_fu": 0.00
}

=====

Referenced to the most stable arrangement, the calculated values in kJ/mol of atoms are entry w 0.0; entry x 18.0.